P | The following is a PBE-GGA calculation of an optimized crystal structure of ScGaCl2, from the Alexandria database.

Calculated volume ... 32.223 Å³ per atom
Symmetry ... I-42d (122)

Lattice parameters (Å, degrees): 6.125 6.125 8.123 67.85 67.85 90.00
Atoms (fractional coordinates):
Cl1 0.238 0.625 0.250
Cl2 0.875 0.762 0.750
Cl3 0.512 0.125 0.250
Cl4 0.375 0.488 0.750
Sc1 0.500 0.500 0.000
Sc2 0.250 0.750 0.500
Ga1 0.750 0.250 0.500
Ga2 0.000 0.000 0.000



Q | The following is a PBE-GGA calculation of an optimized crystal structure of ScGaCl2, from the Alexandria database.

Calculated volume ... 20.737 Å³ per atom
Symmetry ... Fm-3m (225)

Lattice parameters (Å, degrees): 4.895 4.895 4.895 60.00 60.00 60.00
Site moments in Bohr magnetons follow the coordinates.
Atoms (fractional coordinates):
Cl1 0.250 0.250 0.250  0.00
Cl2 0.750 0.750 0.750  0.00
Sc1 0.000 0.000 0.000  0.93
Ga1 0.500 0.500 0.500  0.13



It is P that is the most stable of them.



P | The following is a PBE-GGA calculation of an optimized crystal structure of ScGaCl4, from the Alexandria database.

Calculated volume ... 30.620 Å³ per atom
Symmetry ... C2/m (12)

Lattice parameters (Å, degrees): 3.825 7.761 7.537 120.99 90.00 104.27
Atoms (fractional coordinates):
Cl1 0.108 0.216 0.382
Cl2 0.390 0.779 0.013
Cl3 0.610 0.221 0.987
Cl4 0.892 0.784 0.618
Ga1 0.500 0.000 0.500
Sc1 0.000 0.000 0.000



Q | The following is a PBE-GGA calculation of an optimized crystal structure of ScGaCl4, from the Alexandria database.

Calculated volume ... 29.134 Å³ per atom
Symmetry ... C2/c (15)

Lattice parameters (Å, degrees): 6.297 7.921 8.476 113.40 106.46 100.88
Atoms (fractional coordinates):
Cl1 0.531 0.239 0.093
Cl2 0.062 0.854 0.093
Cl3 0.177 0.357 0.400
Cl4 0.469 0.761 0.907
Cl5 0.724 0.044 0.400
Cl6 0.823 0.643 0.600
Cl7 0.276 0.956 0.600
Cl8 0.938 0.146 0.907
Sc1 0.827 0.077 0.154
Sc2 0.173 0.923 0.846
Ga1 0.576 0.326 0.653
Ga2 0.424 0.674 0.347



It is Q that is the most stable of them.